Entry 1:
# InClF3 | the Alexandria database | PBE | relaxed
# - symmetry = Pm-3m, No. 221
# - energy above the lowest structure with this stoichiometry (kJ per mole of atoms) = 92.0
# - formation energy without anion corrections (meV per atom) = -682
# - energy (eV per atom) = -2.722
data_InClF3
_chemical_formula_sum 'In1 Cl1 F3'
_space_group_name_H-M_alt 'P 1'
_space_group_IT_number 1
_space_group_name_Hall 'P 1'
_cell_length_a 4.4390
_cell_length_b 4.4390
_cell_length_c 4.4390
_cell_angle_alpha 90.00
_cell_angle_beta 90.00
_cell_angle_gamma 90.00
loop_
_atom_site_label
_atom_site_type_symbol
_atom_site_fract_x
_atom_site_fract_y
_atom_site_fract_z
F1 F 0.0000 0.5000 0.0000
F2 F 0.0000 0.0000 0.5000
F3 F 0.5000 0.0000 0.0000
In1 In 0.5000 0.5000 0.5000
Cl1 Cl 0.0000 0.0000 0.0000

---

Entry 2:
# InCl3F | the Alexandria database | PBE | relaxed
# - symmetry = Pm-3m, No. 221
# - energy above the lowest structure with this stoichiometry (kJ per mole of atoms) = 46.4
# - formation energy without anion corrections (meV per atom) = -43
# - energy (eV per atom) = -2.073
data_InCl3F
_chemical_formula_sum 'In1 Cl3 F1'
_space_group_name_H-M_alt 'P 1'
_space_group_IT_number 1
_space_group_name_Hall 'P 1'
_cell_length_a 4.8126
_cell_length_b 4.8126
_cell_length_c 4.8126
_cell_angle_alpha 90.00
_cell_angle_beta 90.00
_cell_angle_gamma 90.00
loop_
_atom_site_label
_atom_site_type_symbol
_atom_site_fract_x
_atom_site_fract_y
_atom_site_fract_z
F1 F 0.0000 0.0000 0.0000
In1 In 0.5000 0.5000 0.5000
Cl1 Cl 0.0000 0.5000 0.0000
Cl2 Cl 0.0000 0.0000 0.5000
Cl3 Cl 0.5000 0.0000 0.0000

---

Entry 3:
# In2ClF | the Alexandria database | PBE | relaxed
# - symmetry = Fm-3m, No. 225
# - energy above the lowest structure with this stoichiometry (kJ per mole of atoms) = 20.3
# - formation energy without anion corrections (meV per atom) = -1037
# - energy (eV per atom) = -3.336
data_In2ClF
_chemical_formula_sum 'In2 Cl1 F1'
_space_group_name_H-M_alt 'P 1'
_space_group_IT_number 1
_space_group_name_Hall 'P 1'
_cell_length_a 5.1614
_cell_length_b 5.1614
_cell_length_c 5.1614
_cell_angle_alpha 60.00
_cell_angle_beta 60.00
_cell_angle_gamma 60.00
loop_
_atom_site_label
_atom_site_type_symbol
_atom_site_fract_x
_atom_site_fract_y
_atom_site_fract_z
F1 F 0.0000 0.0000 0.0000
Cl1 Cl 0.5000 0.5000 0.5000
In1 In 0.2500 0.2500 0.2500
In2 In 0.7500 0.7500 0.7500

---

Entry 4:
# InCl2F2 | the Alexandria database | PBE | relaxed
# - symmetry = I4/mmm, No. 139
# - energy above the lowest structure with this stoichiometry (kJ per mole of atoms) = 40.0
# - formation energy without anion corrections (meV per atom) = -716
# - energy (eV per atom) = -2.751
data_InCl2F2
_chemical_formula_sum 'In1 Cl2 F2'
_space_group_name_H-M_alt 'P 1'
_space_group_IT_number 1
_space_group_name_Hall 'P 1'
_cell_length_a 3.4289
_cell_length_b 3.4289
_cell_length_c 9.2218
_cell_angle_alpha 79.29
_cell_angle_beta 79.29
_cell_angle_gamma 90.00
loop_
_atom_site_label
_atom_site_type_symbol
_atom_site_fract_x
_atom_site_fract_y
_atom_site_fract_z
F1 F 0.4325 0.4325 0.1349
F2 F 0.5675 0.5675 0.8651
Cl1 Cl 0.7500 0.2500 0.5000
Cl2 Cl 0.2500 0.7500 0.5000
In1 In 0.0000 0.0000 0.0000

---

Entry 5:
# In3Cl5F | the Alexandria database | PBE | relaxed
# - symmetry = Cmmm, No. 65
# - formation energy without anion corrections (meV per atom) = -1187
# - energy (eV per atom) = -3.334
data_In3Cl5F
_chemical_formula_sum 'In6 Cl10 F2'
_space_group_name_H-M_alt 'P 1'
_space_group_IT_number 1
_space_group_name_Hall 'P 1'
_cell_length_a 3.9149
_cell_length_b 10.1745
_cell_length_c 14.5357
_cell_angle_alpha 110.49
_cell_angle_beta 90.00
_cell_angle_gamma 90.00
loop_
_atom_site_label
_atom_site_type_symbol
_atom_site_fract_x
_atom_site_fract_y
_atom_site_fract_z
In1 In 0.0000 0.0000 0.0000
In2 In 0.5000 0.5000 0.0000
In3 In 0.0000 0.3557 0.7113
In4 In 0.5000 0.1771 0.3542
In5 In 0.5000 0.8229 0.6458
In6 In 0.0000 0.6443 0.2887
Cl1 Cl 0.0000 0.3301 0.0000
Cl2 Cl 0.0000 0.6699 0.0000
Cl3 Cl 0.0000 0.9964 0.6485
Cl4 Cl 0.5000 0.2679 0.5358
Cl5 Cl 0.5000 0.9148 0.8297
Cl6 Cl 0.0000 0.6521 0.6485
Cl7 Cl 0.0000 0.3479 0.3515
Cl8 Cl 0.5000 0.0852 0.1703
Cl9 Cl 0.5000 0.7321 0.4642
Cl10 Cl 0.0000 0.0036 0.3515
F1 F 0.5000 0.4239 0.8478
F2 F 0.5000 0.5761 0.1522

---

Entry 6:
# In2ClF | the Alexandria database | PBE | relaxed
# - symmetry = I-42d, No. 122
# - energy above the lowest structure with this stoichiometry (kJ per mole of atoms) = 11.3
# - formation energy without anion corrections (meV per atom) = -1131
# - energy (eV per atom) = -3.430
data_In2ClF
_chemical_formula_sum 'In4 Cl2 F2'
_space_group_name_H-M_alt 'P 1'
_space_group_IT_number 1
_space_group_name_Hall 'P 1'
_cell_length_a 6.2143
_cell_length_b 6.2143
_cell_length_c 8.2875
_cell_angle_alpha 67.98
_cell_angle_beta 67.98
_cell_angle_gamma 90.00
loop_
_atom_site_label
_atom_site_type_symbol
_atom_site_fract_x
_atom_site_fract_y
_atom_site_fract_z
F1 F 0.5000 0.5000 0.0000
F2 F 0.2500 0.7500 0.5000
Cl1 Cl 0.0000 0.0000 0.0000
Cl2 Cl 0.7500 0.2500 0.5000
In1 In 0.5548 0.1250 0.2500
In2 In 0.1952 0.6250 0.2500
In3 In 0.3750 0.4452 0.7500
In4 In 0.8750 0.8048 0.7500

---

Entry 7:
# In4Cl5F | the Alexandria database | PBE | relaxed
# - symmetry = Pmmn, No. 59
# - formation energy without anion corrections (meV per atom) = -1000
# - energy (eV per atom) = -3.206
data_In4Cl5F
_chemical_formula_sum 'In8 Cl10 F2'
_space_group_name_H-M_alt 'P 1'
_space_group_IT_number 1
_space_group_name_Hall 'P 1'
_cell_length_a 7.3653
_cell_length_b 9.6716
_cell_length_c 8.3080
_cell_angle_alpha 90.00
_cell_angle_beta 90.00
_cell_angle_gamma 90.00
loop_
_atom_site_label
_atom_site_type_symbol
_atom_site_fract_x
_atom_site_fract_y
_atom_site_fract_z
In1 In 0.0855 0.0000 0.7902
In2 In 0.5161 0.7727 0.0000
In3 In 0.5161 0.2273 0.0000
In4 In 0.0855 0.0000 0.2098
In5 In 0.9145 0.5000 0.2902
In6 In 0.4839 0.7273 0.5000
In7 In 0.4839 0.2727 0.5000
In8 In 0.9145 0.5000 0.7098
Cl1 Cl 0.2521 0.6975 0.7644
Cl2 Cl 0.2521 0.3025 0.7644
Cl3 Cl 0.6341 0.5000 0.0000
Cl4 Cl 0.2521 0.6975 0.2356
Cl5 Cl 0.2521 0.3025 0.2356
Cl6 Cl 0.7479 0.8025 0.2644
Cl7 Cl 0.7479 0.1975 0.2644
Cl8 Cl 0.3659 0.0000 0.5000
Cl9 Cl 0.7479 0.1975 0.7356
Cl10 Cl 0.7479 0.8025 0.7356
F1 F 0.4484 0.0000 0.0000
F2 F 0.5516 0.5000 0.5000

---

Entry 8:
# InClF2 | the Alexandria database | PBE | relaxed
# - symmetry = Cc, No. 9
# - energy above the lowest structure with this stoichiometry (kJ per mole of atoms) = 0.1
# - formation energy without anion corrections (meV per atom) = -2013
# - energy (eV per atom) = -4.095
data_InClF2
_chemical_formula_sum 'In2 Cl2 F4'
_space_group_name_H-M_alt 'P 1'
_space_group_IT_number 1
_space_group_name_Hall 'P 1'
_cell_length_a 5.7715
_cell_length_b 6.2036
_cell_length_c 5.7719
_cell_angle_alpha 109.41
_cell_angle_beta 71.95
_cell_angle_gamma 70.58
loop_
_atom_site_label
_atom_site_type_symbol
_atom_site_fract_x
_atom_site_fract_y
_atom_site_fract_z
Cl1 Cl 0.7644 0.3901 0.6221
Cl2 Cl 0.5415 0.8903 0.3996
In1 In 0.9878 0.5813 0.3627
In2 In 0.8011 0.0813 0.1758
F1 F 0.4094 0.3561 0.2502
F2 F 0.1346 0.7588 0.1365
F3 F 0.9137 0.8559 0.7543
F4 F 0.0270 0.2590 0.0291

---

Entry 9:
# InClF2 | the Alexandria database | PBE | relaxed
# - symmetry = P1, No. 1
# - energy above the lowest structure with this stoichiometry (kJ per mole of atoms) = 0.0
# - formation energy without anion corrections (meV per atom) = -2014
# - energy (eV per atom) = -4.096
data_InClF2
_chemical_formula_sum 'In1 Cl1 F2'
_space_group_name_H-M_alt 'P 1'
_space_group_IT_number 1
_space_group_name_Hall 'P 1'
_cell_length_a 3.5099
_cell_length_b 4.2074
_cell_length_c 6.2272
_cell_angle_alpha 70.69
_cell_angle_beta 74.19
_cell_angle_gamma 89.97
loop_
_atom_site_label
_atom_site_type_symbol
_atom_site_fract_x
_atom_site_fract_y
_atom_site_fract_z
F1 F 0.8712 0.4807 0.8293
F2 F 0.2850 0.8937 0.0072
Cl1 Cl 0.6099 0.2163 0.3697
In1 In 0.2659 0.3741 0.0473

---

Entry 10:
# In2ClF | the Alexandria database | PBE | relaxed
# - symmetry = P4/mmm, No. 123
# - energy above the lowest structure with this stoichiometry (kJ per mole of atoms) = 15.0
# - formation energy without anion corrections (meV per atom) = -1093
# - energy (eV per atom) = -3.391
data_In2ClF
_chemical_formula_sum 'In2 Cl1 F1'
_space_group_name_H-M_alt 'P 1'
_space_group_IT_number 1
_space_group_name_Hall 'P 1'
_cell_length_a 3.5642
_cell_length_b 3.5642
_cell_length_c 7.3451
_cell_angle_alpha 90.00
_cell_angle_beta 90.00
_cell_angle_gamma 90.00
loop_
_atom_site_label
_atom_site_type_symbol
_atom_site_fract_x
_atom_site_fract_y
_atom_site_fract_z
F1 F 0.5000 0.5000 0.0000
Cl1 Cl 0.5000 0.5000 0.5000
In1 In 0.0000 0.0000 0.7801
In2 In 0.0000 0.0000 0.2199

---

Entry 11:
# InCl3F | the Alexandria database | PBE | relaxed
# - symmetry = Pm-3m, No. 221
# - energy above the lowest structure with this stoichiometry (kJ per mole of atoms) = 0.0
# - formation energy without anion corrections (meV per atom) = -524
# - energy (eV per atom) = -2.554
data_InCl3F
_chemical_formula_sum 'In1 Cl3 F1'
_space_group_name_H-M_alt 'P 1'
_space_group_IT_number 1
_space_group_name_Hall 'P 1'
_cell_length_a 5.0674
_cell_length_b 5.0674
_cell_length_c 5.0674
_cell_angle_alpha 90.00
_cell_angle_beta 90.00
_cell_angle_gamma 90.00
loop_
_atom_site_label
_atom_site_type_symbol
_atom_site_fract_x
_atom_site_fract_y
_atom_site_fract_z
F1 F 0.5000 0.5000 0.5000
In1 In 0.0000 0.0000 0.0000
Cl1 Cl 0.0000 0.5000 0.0000
Cl2 Cl 0.0000 0.0000 0.5000
Cl3 Cl 0.5000 0.0000 0.0000

---

Entry 12:
# InCl2F | the Alexandria database | PBE | relaxed
# - symmetry = Immm, No. 71
# - energy above the lowest structure with this stoichiometry (kJ per mole of atoms) = 0.0
# - formation energy without anion corrections (meV per atom) = -1575
# - energy (eV per atom) = -3.650
data_InCl2F
_chemical_formula_sum 'In1 Cl2 F1'
_space_group_name_H-M_alt 'P 1'
_space_group_IT_number 1
_space_group_name_Hall 'P 1'
_cell_length_a 3.6898
_cell_length_b 4.2636
_cell_length_c 7.1402
_cell_angle_alpha 107.40
_cell_angle_beta 104.97
_cell_angle_gamma 90.00
loop_
_atom_site_label
_atom_site_type_symbol
_atom_site_fract_x
_atom_site_fract_y
_atom_site_fract_z
In1 In 0.5000 0.0089 0.0000
Cl1 Cl 0.1332 0.1426 0.2666
Cl2 Cl 0.8668 0.8756 0.7334
F1 F 0.5000 0.5089 0.0000